# Rb5Tl6Ag, relaxed, DFT GGA-PBE
# Uncorrected energy (eV/atom): -1.85
# V (Å³/atom): 45.80
# ΔE_f (eV per formula unit): -0.3
data_Rb5Tl6Ag
_chemical_formula_sum 'Rb10 Tl12 Ag2'
_symmetry_space_group_name_H-M 'C 1 2/m 1'
_symmetry_Int_Tables_number 12
_symmetry_space_group_name_Hall '-C 2y'
_cell_length_a 7.584
_cell_length_b 16.563
_cell_length_c 9.334
_cell_angle_alpha 90.00
_cell_angle_beta 110.36
_cell_angle_gamma 90.00
loop_
_atom_site_label
_atom_site_fract_x
_atom_site_fract_y
_atom_site_fract_z
Rb1 0.000 0.000 0.000
Rb2 0.000 0.288 0.000
Rb3 0.000 0.365 0.500
Tl1 0.081 0.149 0.679
Tl2 0.144 0.500 0.191
Ag1 0.000 0.000 0.500